Entry 1:
Li2HgBi2 | PBE | optimized geometry

ΔE to the lowest computed polymorph (eV per atom): 0.0676
E_form (meV/atom): -200
Size of the total moment (μB/atom): 0.000
Calculated volume (Å³/cell): 239.6
Final energy (hartree per atom): -0.095

Structure (CIF):
```
data_Li2HgBi2
_symmetry_space_group_name_H-M 'P 4/m b m'
_symmetry_Int_Tables_number 127
_symmetry_space_group_name_Hall '-P 4 2ab'
_cell_length_a 8.469
_cell_length_b 8.469
_cell_length_c 3.341
_cell_angle_alpha 90.00
_cell_angle_beta 90.00
_cell_angle_gamma 90.00
loop_
_atom_site_label
_atom_site_type_symbol
_atom_site_fract_x
_atom_site_fract_y
_atom_site_fract_z
Li1 Li 0.118 0.382 0.000
Hg1 Hg 0.000 0.000 0.000
Bi1 Bi 0.183 0.683 0.500
```

Entry 2:
HfBe2TcBi | PBE | optimized geometry

E_form (meV/atom): 1449
Size of the total moment (μB/atom): 0.383
Calculated volume (Å³/cell): 109.5
Final energy (hartree per atom): -0.179

Structure (CIF):
```
data_HfBe2TcBi
_symmetry_space_group_name_H-M 'P 4/m m m'
_symmetry_Int_Tables_number 123
_symmetry_space_group_name_Hall '-P 4 2'
_cell_length_a 4.772
_cell_length_b 4.772
_cell_length_c 4.808
_cell_angle_alpha 90.00
_cell_angle_beta 90.00
_cell_angle_gamma 90.00
loop_
_atom_site_label
_atom_site_type_symbol
_atom_site_fract_x
_atom_site_fract_y
_atom_site_fract_z
Hf1 Hf 0.000 0.000 0.000
Be1 Be 0.000 0.500 0.000
Tc1 Tc 0.000 0.000 0.500
Bi1 Bi 0.500 0.500 0.500
```

Entry 3:
ScZnOsW2 | PBE | optimized geometry

E_form (meV/atom): 1540
Size of the total moment (μB/atom): 0.000
Calculated volume (Å³/cell): 95.4
Final energy (hartree per atom): -0.272

Structure (CIF):
```
data_ScZnOsW2
_symmetry_space_group_name_H-M 'P 4/m m m'
_symmetry_Int_Tables_number 123
_symmetry_space_group_name_Hall '-P 4 2'
_cell_length_a 4.572
_cell_length_b 4.572
_cell_length_c 4.563
_cell_angle_alpha 90.00
_cell_angle_beta 90.00
_cell_angle_gamma 90.00
loop_
_atom_site_label
_atom_site_type_symbol
_atom_site_fract_x
_atom_site_fract_y
_atom_site_fract_z
Sc1 Sc 0.000 0.000 0.000
Zn1 Zn 0.500 0.500 0.500
Os1 Os 0.500 0.500 0.000
W1 W 0.000 0.500 0.500
```

Entry 4:
MgBeCr | PBE | optimized geometry

ΔE to the lowest computed polymorph (eV per atom): 0.0958
E_form (meV/atom): 201
Size of the total moment (μB/atom): 0.033
Calculated volume (Å³/cell): 83.4
Final energy (hartree per atom): -0.176

Structure (CIF):
```
data_MgBeCr
_symmetry_space_group_name_H-M 'P 1 m 1'
_symmetry_Int_Tables_number 6
_cell_length_a 2.918
_cell_length_b 2.919
_cell_length_c 9.787
_cell_angle_alpha 90.00
_cell_angle_beta 90.03
_cell_angle_gamma 90.00
loop_
_symmetry_equiv_pos_as_xyz
'x,y,z'
'x,-y,z'
loop_
_atom_site_label
_atom_site_type_symbol
_atom_site_fract_x
_atom_site_fract_y
_atom_site_fract_z
Mg1 Mg 0.000 0.000 0.000
Mg2 Mg 0.497 0.500 0.252
Be1 Be 0.000 0.000 0.709
Be2 Be 0.501 0.500 0.815
Cr1 Cr 0.499 0.500 0.567
Cr2 Cr 0.998 0.000 0.456
```

Entry 5:
LaPa2IrN5 | PBE | optimized geometry

Formation energy (no corrections) (meV per atom): -1120
Size of the total moment (μB/atom): 0.000
Calculated volume (Å³/cell): 514.7
Final energy (hartree per atom): -0.345

Structure (CIF):
```
data_LaPa2IrN5
_symmetry_space_group_name_H-M 'I 4/m c m'
_symmetry_Int_Tables_number 140
_symmetry_space_group_name_Hall '-I 4 2c'
_cell_length_a 6.577
_cell_length_b 6.577
_cell_length_c 11.898
_cell_angle_alpha 90.00
_cell_angle_beta 90.00
_cell_angle_gamma 90.00
loop_
_atom_site_label
_atom_site_type_symbol
_atom_site_fract_x
_atom_site_fract_y
_atom_site_fract_z
La1 La 0.000 0.000 0.250
Pa1 Pa 0.180 0.320 0.000
Ir1 Ir 0.000 0.500 0.250
N1 N 0.000 0.000 0.000
N2 N 0.142 0.358 0.376
```

Entry 6:
Ba4Tl2Pt | PBE | optimized geometry

ΔE to the lowest computed polymorph (eV per atom): 0.0000
E_form (meV/atom): -471
Size of the total moment (μB/atom): 0.000
Calculated volume (Å³/cell): 600.0
Final energy (hartree per atom): -0.114

Structure (CIF):
```
data_Ba4Tl2Pt
_symmetry_space_group_name_H-M 'C 1 2/m 1'
_symmetry_Int_Tables_number 12
_cell_length_a 15.140
_cell_length_b 4.662
_cell_length_c 10.287
_cell_angle_alpha 90.00
_cell_angle_beta 124.27
_cell_angle_gamma 90.00
loop_
_symmetry_equiv_pos_as_xyz
'x,y,z'
'-x,-y,-z'
'-x,y,-z'
'x,-y,z'
'x+1/2,y+1/2,z'
'-x+1/2,-y+1/2,-z'
'-x+1/2,y+1/2,-z'
'x+1/2,-y+1/2,z'
loop_
_atom_site_label
_atom_site_type_symbol
_atom_site_fract_x
_atom_site_fract_y
_atom_site_fract_z
Ba1 Ba 0.083 0.000 0.361
Ba2 Ba 0.163 0.500 0.068
Tl1 Tl 0.122 0.500 0.666
Pt1 Pt 0.000 0.000 0.000
```

Entry 7:
TlPbIO2 | PBE | optimized geometry

Formation energy (no corrections) (meV per atom): -2
ΔE to the lowest computed polymorph (eV per atom): 0.2739
Size of the total moment (μB/atom): 0.006
Calculated volume (Å³/cell): 120.1
Final energy (hartree per atom): -0.129

Structure (CIF):
```
data_TlPbIO2
_symmetry_space_group_name_H-M 'P 4/m m m'
_symmetry_Int_Tables_number 123
_symmetry_space_group_name_Hall '-P 4 2'
_cell_length_a 4.511
_cell_length_b 4.511
_cell_length_c 5.902
_cell_angle_alpha 90.00
_cell_angle_beta 90.00
_cell_angle_gamma 90.00
loop_
_atom_site_label
_atom_site_type_symbol
_atom_site_fract_x
_atom_site_fract_y
_atom_site_fract_z
Tl1 Tl 0.000 0.000 0.000
Pb1 Pb 0.500 0.500 0.500
I1 I 0.000 0.000 0.500
O1 O 0.000 0.500 0.000
```

Entry 8:
KSc2Bi2 | PBE | optimized geometry

ΔE to the lowest computed polymorph (eV per atom): 0.1094
E_form (meV/atom): -380
Size of the total moment (μB/atom): 0.218
Calculated volume (Å³/cell): 287.7
Final energy (hartree per atom): -0.172

Structure (CIF):
```
data_KSc2Bi2
_symmetry_space_group_name_H-M 'P 4/m b m'
_symmetry_Int_Tables_number 127
_symmetry_space_group_name_Hall '-P 4 2ab'
_cell_length_a 8.859
_cell_length_b 8.859
_cell_length_c 3.665
_cell_angle_alpha 90.00
_cell_angle_beta 90.00
_cell_angle_gamma 90.00
loop_
_atom_site_label
_atom_site_type_symbol
_atom_site_fract_x
_atom_site_fract_y
_atom_site_fract_z
K1 K 0.000 0.000 0.000
Sc1 Sc 0.122 0.378 0.000
Bi1 Bi 0.167 0.667 0.500
```

Entry 9:
Te2HIr | PBE | optimized geometry

ΔE to the lowest computed polymorph (eV per atom): 0.8120
Size of the total moment (μB/atom): 0.000
Calculated volume (Å³/cell): 218.3
Final energy (hartree per atom): -0.141

Structure (CIF):
```
data_Te2HIr
_symmetry_space_group_name_H-M 'R -3 m'
_symmetry_Int_Tables_number 166
_symmetry_space_group_name_Hall '-R 3 2"'
_cell_length_a 3.1293
_cell_length_b 3.1293
_cell_length_c 25.7389
_cell_angle_alpha 90.00
_cell_angle_beta 90.00
_cell_angle_gamma 120.00
loop_
_atom_site_label
_atom_site_type_symbol
_atom_site_fract_x
_atom_site_fract_y
_atom_site_fract_z
Te1 Te 0.0000 0.0000 0.1000
H1 H 0.0000 0.0000 0.5000
Ir1 Ir 0.0000 0.0000 0.0000
```

Entry 10:
Ce2PmY3Ho6 | PBE | optimized geometry

E_form (meV/atom): 51
Size of the total moment (μB/atom): 0.149
Calculated volume (Å³/cell): 755.4
Final energy (hartree per atom): -0.193

Structure (CIF):
```
data_Ce2PmY3Ho6
_symmetry_space_group_name_H-M 'C 1 2/m 1'
_symmetry_Int_Tables_number 12
_cell_length_a 6.142
_cell_length_b 10.636
_cell_length_c 11.745
_cell_angle_alpha 90.00
_cell_angle_beta 100.04
_cell_angle_gamma 90.00
loop_
_symmetry_equiv_pos_as_xyz
'x,y,z'
'-x,-y,-z'
'-x,y,-z'
'x,-y,z'
'x+1/2,y+1/2,z'
'-x+1/2,-y+1/2,-z'
'-x+1/2,y+1/2,-z'
'x+1/2,-y+1/2,z'
loop_
_atom_site_label
_atom_site_type_symbol
_atom_site_fract_x
_atom_site_fract_y
_atom_site_fract_z
Ce1 Ce 0.000 0.167 0.000
Pm1 Pm 0.000 0.500 0.000
Y1 Y 0.000 0.000 0.500
Y2 Y 0.000 0.334 0.500
Ho1 Ho 0.247 0.000 0.249
Ho2 Ho 0.248 0.168 0.751
```

Entry 11:
DyErSc2S6 | PBE | optimized geometry

Formation energy (no corrections) (meV per atom): -1964
Size of the total moment (μB/atom): 0.000
Calculated volume (Å³/cell): 692.5
Final energy (hartree per atom): -0.243

Structure (CIF):
```
data_DyErSc2S6
_symmetry_space_group_name_H-M 'R 3'
_symmetry_Int_Tables_number 146
_symmetry_space_group_name_Hall 'R 3'
_cell_length_a 6.6838
_cell_length_b 6.6838
_cell_length_c 17.8982
_cell_angle_alpha 90.00
_cell_angle_beta 90.00
_cell_angle_gamma 120.00
loop_
_atom_site_label
_atom_site_type_symbol
_atom_site_fract_x
_atom_site_fract_y
_atom_site_fract_z
Dy1 Dy 0.0000 0.0000 0.0000
Er1 Er 0.0000 0.0000 0.4986
Sc1 Sc 0.0000 0.0000 0.3000
Sc2 Sc 0.0000 0.0000 0.8008
S1 S 0.0172 0.3749 0.5609
S2 S 0.0176 0.6383 0.0611
```

Entry 12:
Mn4BeTe | PBE | optimized geometry

Formation energy (no corrections) (meV per atom): 487
Size of the total moment (μB/atom): 0.907
Calculated volume (Å³/cell): 314.2
Final energy (hartree per atom): -0.249

Structure (CIF):
```
data_Mn4BeTe
_symmetry_space_group_name_H-M 'F -4 3 m'
_symmetry_Int_Tables_number 216
_symmetry_space_group_name_Hall 'F -4 2 3'
_cell_length_a 6.798
_cell_length_b 6.798
_cell_length_c 6.798
_cell_angle_alpha 90.00
_cell_angle_beta 90.00
_cell_angle_gamma 90.00
loop_
_atom_site_label
_atom_site_type_symbol
_atom_site_fract_x
_atom_site_fract_y
_atom_site_fract_z
Mn1 Mn 0.124 0.124 0.124
Be1 Be 0.250 0.250 0.750
Te1 Te 0.000 0.000 0.500
```

Entry 13:
Ac4SnPbBr2 | PBE | optimized geometry

Formation energy (no corrections) (meV per atom): -987
Size of the total moment (μB/atom): 0.000
Calculated volume (Å³/cell): 298.0
Final energy (hartree per atom): -0.163

Structure (CIF):
```
data_Ac4SnPbBr2
_symmetry_space_group_name_H-M 'P 1 2/m 1'
_symmetry_Int_Tables_number 10
_cell_length_a 7.748
_cell_length_b 4.887
_cell_length_c 8.452
_cell_angle_alpha 90.00
_cell_angle_beta 111.38
_cell_angle_gamma 90.00
loop_
_symmetry_equiv_pos_as_xyz
'x,y,z'
'-x,-y,-z'
'-x,y,-z'
'x,-y,z'
loop_
_atom_site_label
_atom_site_type_symbol
_atom_site_fract_x
_atom_site_fract_y
_atom_site_fract_z
Ac1 Ac 0.241 0.000 0.244
Ac2 Ac 0.243 0.500 0.751
Sn1 Sn 0.000 0.500 0.000
Pb1 Pb 0.000 0.000 0.500
Br1 Br 0.500 0.000 0.000
Br2 Br 0.500 0.500 0.500
```

Entry 14:
TbScMnCd | PBE | optimized geometry

E_form (meV/atom): -6
Size of the total moment (μB/atom): 0.697
Calculated volume (Å³/cell): 359.4
Final energy (hartree per atom): -0.194

Structure (CIF):
```
data_TbScMnCd
_symmetry_space_group_name_H-M 'F -4 3 m'
_symmetry_Int_Tables_number 216
_symmetry_space_group_name_Hall 'F -4 2 3'
_cell_length_a 7.110
_cell_length_b 7.110
_cell_length_c 7.110
_cell_angle_alpha 90.00
_cell_angle_beta 90.00
_cell_angle_gamma 90.00
loop_
_atom_site_label
_atom_site_type_symbol
_atom_site_fract_x
_atom_site_fract_y
_atom_site_fract_z
Tb1 Tb 0.000 0.000 0.000
Sc1 Sc 0.000 0.000 0.500
Mn1 Mn 0.250 0.250 0.750
Cd1 Cd 0.250 0.250 0.250
```

Entry 15:
Be2AgPbF8 | PBE | optimized geometry

Formation energy (no corrections) (meV per atom): -2490
Size of the total moment (μB/atom): 0.082
Calculated volume (Å³/cell): 349.5
Final energy (hartree per atom): -0.180

Structure (CIF):
```
data_Be2AgPbF8
_symmetry_space_group_name_H-M 'C 1 2/m 1'
_symmetry_Int_Tables_number 12
_cell_length_a 8.058
_cell_length_b 5.540
_cell_length_c 7.861
_cell_angle_alpha 90.00
_cell_angle_beta 95.15
_cell_angle_gamma 90.00
loop_
_symmetry_equiv_pos_as_xyz
'x,y,z'
'-x,-y,-z'
'-x,y,-z'
'x,-y,z'
'x+1/2,y+1/2,z'
'-x+1/2,-y+1/2,-z'
'-x+1/2,y+1/2,-z'
'x+1/2,-y+1/2,z'
loop_
_atom_site_label
_atom_site_type_symbol
_atom_site_fract_x
_atom_site_fract_y
_atom_site_fract_z
Be1 Be 0.128 0.000 0.259
Ag1 Ag 0.000 0.500 0.500
Pb1 Pb 0.000 0.500 0.000
F1 F 0.020 0.236 0.262
F2 F 0.211 0.000 0.089
F3 F 0.245 0.000 0.431
```

Entry 16:
Er4CdRu2Au | PBE | optimized geometry

E_form (meV/atom): -478
Size of the total moment (μB/atom): 0.000
Calculated volume (Å³/cell): 513.2
Final energy (hartree per atom): -0.206

Structure (CIF):
```
data_Er4CdRu2Au
_symmetry_space_group_name_H-M 'R -3 m'
_symmetry_Int_Tables_number 166
_symmetry_space_group_name_Hall '-R 3 2"'
_cell_length_a 4.9518
_cell_length_b 4.9518
_cell_length_c 24.1674
_cell_angle_alpha 90.00
_cell_angle_beta 90.00
_cell_angle_gamma 120.00
loop_
_atom_site_label
_atom_site_type_symbol
_atom_site_fract_x
_atom_site_fract_y
_atom_site_fract_z
Er1 Er 0.0000 0.0000 0.1229
Er2 Er 0.0000 0.0000 0.3727
Cd1 Cd 0.0000 0.0000 0.5000
Ru1 Ru 0.0000 0.0000 0.2485
Au1 Au 0.0000 0.0000 0.0000
```